An optimized crystal structure of Dy2WO6. Source: the Alexandria database, functional GGA+U.

Values from the calculation:
DFT total energy	-8.0781	eV/atom
energy above the most stable polymorph in this dataset	4.5	kJ per mole of atoms

```
data_Dy2WO6
_space_group_name_H-M_alt 'P n n m'
_space_group_IT_number 58
_space_group_name_Hall '-P 2 2n'
_cell_length_a 5.552
_cell_length_b 5.554
_cell_length_c 8.975
_cell_angle_alpha 90.00
_cell_angle_beta 90.00
_cell_angle_gamma 90.00
loop_
_atom_site_label
_atom_site_type_symbol
_atom_site_fract_x
_atom_site_fract_y
_atom_site_fract_z
Dy1 Dy 0.000 0.000 0.203
W1 W 0.000 0.500 0.500
O1 O 0.143 0.298 0.343
O2 O 0.197 0.172 0.000
```